[1]
This record from the Alexandria database describes a PBEsol-optimized structure of CaSb3S. The functional is meta-GGA SCAN.

Summary:
Total moment = 1.56 Bohr magnetons per cell
Density of states at the Fermi level = 4.2 states/eV/f.u.
Space-group type = No. 221
Raw formation energy = 1.03 eV per atom
Raw total energy = -125.936 eV per cell

Structure (CIF):
```
data_CaSb3S
_chemical_formula_sum 'Ca1 Sb3 S1'
_cell_length_a 5.572
_cell_length_b 5.572
_cell_length_c 5.572
_cell_angle_alpha 90.00
_cell_angle_beta 90.00
_cell_angle_gamma 90.00
_symmetry_space_group_name_H-M 'P 1'
_symmetry_Int_Tables_number 1
loop_
_symmetry_equiv_pos_as_xyz
'x,y,z'
loop_
_atom_site_label
_atom_site_type_symbol
_atom_site_fract_x
_atom_site_fract_y
_atom_site_fract_z
Sb1 Sb 0.000 0.500 0.000
Sb2 Sb 0.000 0.000 0.500
Sb3 Sb 0.500 0.000 0.000
Ca1 Ca 0.000 0.000 0.000
S1 S 0.500 0.500 0.500
```



[2]
This record from the Alexandria database describes a PBEsol-optimized structure of Mg2ClF. The functional is meta-GGA SCAN.

Summary:
Total moment = 0.00 Bohr magnetons per cell
Density of states at the Fermi level = 1.8 states/eV/f.u.
Space-group type = No. 225
Raw formation energy = -0.94 eV per atom
Raw total energy = -25.217 eV per cell

Structure (CIF):
```
data_Mg2ClF
_chemical_formula_sum 'Mg2 Cl1 F1'
_cell_length_a 4.681
_cell_length_b 4.681
_cell_length_c 4.681
_cell_angle_alpha 60.00
_cell_angle_beta 60.00
_cell_angle_gamma 60.00
_symmetry_space_group_name_H-M 'P 1'
_symmetry_Int_Tables_number 1
loop_
_symmetry_equiv_pos_as_xyz
'x,y,z'
loop_
_atom_site_label
_atom_site_type_symbol
_atom_site_fract_x
_atom_site_fract_y
_atom_site_fract_z
Mg1 Mg 0.250 0.250 0.250
Mg2 Mg 0.750 0.750 0.750
F1 F 0.000 0.000 0.000
Cl1 Cl 0.500 0.500 0.500
```



[3]
This record from the Alexandria database describes a PBEsol-optimized structure of ReSb2PtC. The functional is meta-GGA SCAN.

Summary:
Total moment = 1.75 Bohr magnetons per cell
Density of states at the Fermi level = 4.2 states/eV/f.u.
Space-group type = No. 123
Raw formation energy = 1.39 eV per atom
Raw total energy = -218.950 eV per cell

Structure (CIF):
```
data_ReSb2PtC
_chemical_formula_sum 'Re1 Sb2 Pt1 C1'
_cell_length_a 3.959
_cell_length_b 4.636
_cell_length_c 4.636
_cell_angle_alpha 90.00
_cell_angle_beta 90.00
_cell_angle_gamma 90.00
_symmetry_space_group_name_H-M 'P 1'
_symmetry_Int_Tables_number 1
loop_
_symmetry_equiv_pos_as_xyz
'x,y,z'
loop_
_atom_site_label
_atom_site_type_symbol
_atom_site_fract_x
_atom_site_fract_y
_atom_site_fract_z
Re1 Re 0.500 0.500 0.500
C1 C 0.000 0.000 0.000
Pt1 Pt 0.500 0.000 0.000
Sb1 Sb 0.000 0.000 0.500
Sb2 Sb 0.000 0.500 0.000
```